Entry 1:
A geometry-optimized SrNb3Pt structure. Source: the Alexandria database, functional PBE-GGA.

The structure belongs to space group Pm-3m (No. 221); the cell edges are 4.7579, 4.7579 and 4.7579 Å and the angles 90.00°, 90.00° and 90.00°. Symmetry generates all atoms from Sr at (0.0000, 0.0000, 0.0000), Nb at (0.0000, 0.0000, 0.5000) and Pt at (0.5000, 0.5000, 0.5000).

As for the formation energy: 2.4996 eV/atom.

***

Entry 2:
A geometry-optimized SrNbPt2 structure. Source: the Alexandria database, functional PBE-GGA.

The structure belongs to space group Fm-3m (No. 225); the cell edges are 6.8569, 6.8569 and 6.8569 Å and the angles 90.00°, 90.00° and 90.00°. Symmetry generates all atoms from Sr at (0.0000, 0.0000, 0.0000), Nb at (0.0000, 0.0000, 0.5000) and Pt at (0.2500, 0.2500, 0.2500).

As for the formation energy: -0.1653 eV/atom.

***

Entry 3:
A geometry-optimized Sr3NbPt structure. Source: the Alexandria database, functional PBE-GGA.

The structure belongs to space group Pm-3m (No. 221); the cell edges are 5.8266, 5.8266 and 5.8266 Å and the angles 90.00°, 90.00° and 90.00°. Symmetry generates all atoms from Sr at (0.0000, 0.0000, 0.5000), Nb at (0.5000, 0.5000, 0.5000) and Pt at (0.0000, 0.0000, 0.0000).

As for the formation energy: 0.3448 eV/atom.

***

Entry 4:
A geometry-optimized SrNb3Pt structure. Source: the Alexandria database, functional PBE-GGA.

The structure belongs to space group Pm-3m (No. 221); the cell edges are 5.0475, 5.0475 and 5.0475 Å and the angles 90.00°, 90.00° and 90.00°. Symmetry generates all atoms from Sr at (0.0000, 0.0000, 0.0000), Nb at (0.0000, 0.5000, 0.5000) and Pt at (0.5000, 0.5000, 0.5000).

As for the formation energy: 0.8577 eV/atom.

***

Entry 5:
A geometry-optimized Ta2Nb5Pt structure. Source: the Alexandria database, functional PBE-GGA.

The structure belongs to space group I4/mmm (No. 139); the cell edges are 4.6376, 4.6376 and 13.2515 Å and the angles 90.00°, 90.00° and 90.00°. Symmetry generates all atoms from Ta at (0.0000, 0.0000, 0.2462), Nb at (0.0000, 0.0000, 0.0000), Nb at (0.0000, 0.5000, 0.1250) and Pt at (0.0000, 0.0000, 0.5000).

As for the formation energy: -0.2122 eV/atom.

***

Entry 6:
A geometry-optimized Ta4Nb4Pt structure. Source: the Alexandria database, functional PBE-GGA.

The structure belongs to space group P-1 (No. 2); the cell edges are 4.8076, 5.6618 and 6.5705 Å and the angles 97.63°, 103.58° and 93.33°. Symmetry generates all atoms from Ta at (0.1695, 0.1785, 0.1854), Ta at (0.2758, 0.5968, 0.6026), Nb at (0.1232, 0.6913, 0.1946), Nb at (0.2868, 0.0906, 0.6128) and Pt at (0.5000, 0.5000, 0.0000).

As for the formation energy: 0.1501 eV/atom.

***

Q: Number 2 is which compound?
A: SrNbPt2

***

Q: Look up the formation energy of the second one.
A: -0.1653 eV/atom

***

Q: Which formula does entry 6 have?
A: Ta4Nb4Pt

***

Q: Which value of formation energy does entry 1 give?
A: 2.4996 eV/atom